Entry from Alexandria: a relaxed structure of Ge2HRu (PBE).

a = 4.701 Å, b = 4.701 Å, c = 11.210 Å
α = 90.00°, β = 90.00°, γ = 90.00°
Space group I-42d (No. 122)
One atom of each set of equivalent atoms:
Ge (0.169, 0.250, 0.125)
H (0.000, 0.000, 0.000)
Ru (0.000, 0.000, 0.500)

Calculated values
theoretical density = 6.63 g/cm³
ΔE to the lowest computed polymorph = 24 meV/atom
DOS at the Fermi energy = 7.450 states/eV/cell

Entry from Alexandria: a relaxed structure of GeH2Ru (PBE).

a = 2.993 Å, b = 5.516 Å, c = 4.906 Å
α = 90.00°, β = 107.69°, γ = 90.00°
Space group P2_1/m (No. 11)
One atom of each set of equivalent atoms:
Ge (0.032, 0.250, 0.060)
H (0.310, 0.068, 0.620)
Ru (0.246, 0.750, 0.494)

Calculated values
theoretical density = 7.56 g/cm³
ΔE to the lowest computed polymorph = 0 meV/atom
DOS at the Fermi energy = 2.147 states/eV/cell

Entry from Alexandria: a relaxed structure of Ge2H2Ru (PBE).

a = 4.633 Å, b = 4.633 Å, c = 5.189 Å
α = 90.00°, β = 90.00°, γ = 90.00°
Space group I4/mmm (No. 139)
One atom of each set of equivalent atoms:
Ge (0.000, 0.500, 0.250)
H (0.000, 0.000, 0.173)
Ru (0.000, 0.000, 0.500)

Calculated values
theoretical density = 7.40 g/cm³
ΔE to the lowest computed polymorph = 0 meV/atom
DOS at the Fermi energy = 0.944 states/eV/cell

Entry from Alexandria: a relaxed structure of GeH2Ru (PBE).

a = 5.296 Å, b = 5.296 Å, c = 5.296 Å
α = 90.00°, β = 90.00°, γ = 90.00°
Space group Fm-3m (No. 225)
One atom of each set of equivalent atoms:
Ge (0.000, 0.000, 0.000)
H (0.250, 0.250, 0.250)
Ru (0.000, 0.000, 0.500)

Calculated values
theoretical density = 7.86 g/cm³
ΔE to the lowest computed polymorph = 729 meV/atom
DOS at the Fermi energy = 6.621 states/eV/cell

Entry from Alexandria: a relaxed structure of GeH3Ru (PBE).

a = 3.567 Å, b = 3.567 Å, c = 3.567 Å
α = 90.00°, β = 90.00°, γ = 90.00°
Space group Pm-3m (No. 221)
One atom of each set of equivalent atoms:
Ge (0.000, 0.000, 0.000)
H (0.000, 0.000, 0.500)
Ru (0.500, 0.500, 0.500)

Calculated values
theoretical density = 6.47 g/cm³
ΔE to the lowest computed polymorph = 773 meV/atom
DOS at the Fermi energy = 2.774 states/eV/cell

Entry from Alexandria: a relaxed structure of ScGe2HRu (PBE).

a = 4.470 Å, b = 4.470 Å, c = 3.496 Å
α = 90.00°, β = 90.00°, γ = 90.00°
Space group P4/mmm (No. 123)
One atom of each set of equivalent atoms:
Sc (0.000, 0.000, 0.000)
Ge (0.000, 0.500, 0.500)
H (0.500, 0.500, 0.500)
Ru (0.500, 0.500, 0.000)

Calculated values
theoretical density = 6.95 g/cm³
DOS at the Fermi energy = 2.474 states/eV/cell
E_tot = -0.212 Ha/atom